{
  "formula": "YTaCu2",
  "functional": "PBE",
  "state": "optimized geometry",
  "formation_energy_ev_per_atom": 0.186,
  "energy_ev_per_cell": -25.8,
  "polymorph_energy_mev_per_atom": 118.1,
  "spacegroup": "Fm-3m (225)",
  "lattice": [[-3.381, -1.966, 2.530], [-0.609, 1.250, 4.446], [-3.739, 2.492, 1.228]],
  "species": ["Cu", "Cu", "Ta", "Y"],
  "frac_coords": [[0.250, 0.250, 0.250], [0.750, 0.750, 0.750], [0.500, 0.500, 0.500], [0.000, 0.000, 0.000]]
}

{
  "formula": "CdIn7Hg5",
  "functional": "PBE",
  "state": "optimized geometry",
  "formation_energy_ev_per_atom": 0.019,
  "energy_ev_per_cell": -21.3,
  "spacegroup": "P1 (1)",
  "lattice": [[8.233, -0.522, 2.478], [4.513, 6.049, 1.496], [2.378, -0.642, 7.337]],
  "species": ["Cd", "In", "In", "In", "In", "In", "In", "In", "Hg", "Hg", "Hg", "Hg", "Hg"],
  "frac_coords": [[0.772, 0.997, 0.997], [0.459, 0.180, 0.813], [0.464, 0.807, 0.175], [0.642, 0.316, 0.320], [0.076, 0.818, 0.193], [0.266, 0.319, 0.320], [0.072, 0.198, 0.821], [0.271, 0.682, 0.680], [0.907, 0.679, 0.675], [0.959, 0.133, 0.498], [0.577, 0.870, 0.503], [0.582, 0.499, 0.864], [0.954, 0.501, 0.140]]
}

{
  "formula": "PrPuAgPt",
  "functional": "PBE",
  "state": "optimized geometry",
  "formation_energy_ev_per_atom": -0.451,
  "energy_ev_per_cell": -29.8,
  "spacegroup": "F-43m (216)",
  "lattice": [[-3.907, -2.501, 2.233], [-0.236, -5.138, -0.233], [0.826, -2.809, 4.234]],
  "species": ["Ag", "Pt", "Pr", "Pu"],
  "frac_coords": [[0.250, 0.250, 0.250], [0.750, 0.750, 0.750], [0.500, 0.500, 0.500], [0.000, 0.000, 0.000]]
}

{
  "formula": "HoHg2Au",
  "functional": "PBE",
  "state": "optimized geometry",
  "formation_energy_ev_per_atom": -0.390,
  "energy_ev_per_cell": -10.0,
  "polymorph_energy_mev_per_atom": 51.9,
  "spacegroup": "P4/mmm (123)",
  "lattice": [[4.869, 0.000, 0.000], [0.000, 4.354, 0.000], [0.000, 0.000, 4.354]],
  "species": ["Hg", "Hg", "Ho", "Au"],
  "frac_coords": [[0.000, 0.500, 0.000], [0.000, 0.000, 0.500], [0.500, 0.000, 0.000], [0.500, 0.500, 0.500]]
}

{
  "formula": "HoSeBr",
  "functional": "PBE",
  "state": "optimized geometry",
  "energy_ev_per_cell": -15.2,
  "raw_formation_energy_mev_per_atom": -1829,
  "spacegroup": "P3m1 (156)",
  "lattice": [[-3.649, -1.656, 0.975], [2.620, -2.065, -2.424], [2.812, -2.935, 5.539]],
  "species": ["Se", "Ho", "Br"],
  "frac_coords": [[0.333, 0.667, 0.554], [0.667, 0.333, 0.352], [0.000, 0.000, 0.093]]
}

{
  "formula": "LaSmPCl",
  "functional": "PBE",
  "state": "optimized geometry",
  "energy_ev_per_cell": -23.4,
  "raw_formation_energy_mev_per_atom": -1626,
  "spacegroup": "R3m (160)",
  "lattice": [[4.069, -0.001, 0.000], [-2.034, 3.525, 0.000], [-2.033, -1.174, 7.313]],
  "species": ["Sm", "P", "Cl", "La"],
  "frac_coords": [[0.112, 0.954, 0.081], [0.312, 0.554, 0.881], [0.960, 0.378, 0.353], [0.494, 0.145, 0.655]]
}

{
  "formula": "RbSi2Ru",
  "functional": "PBE",
  "state": "optimized geometry",
  "energy_ev_per_cell": -17.3,
  "raw_formation_energy_mev_per_atom": 950,
  "polymorph_energy_mev_per_atom": 999.9,
  "spacegroup": "Fm-3m (225)",
  "lattice": [[1.311, -4.189, -1.671], [-3.040, -3.580, -0.013], [-1.766, -1.566, -4.060]],
  "species": ["Si", "Si", "Ru", "Rb"],
  "frac_coords": [[0.750, 0.750, 0.750], [0.250, 0.250, 0.250], [0.500, 0.500, 0.500], [0.000, 0.000, 0.000]]
}

{
  "formula": "VNiTe2",
  "functional": "PBE",
  "state": "optimized geometry",
  "energy_ev_per_cell": -20.3,
  "raw_formation_energy_mev_per_atom": 225,
  "spacegroup": "Fm-3m (225)",
  "lattice": [[-0.744, -4.677, -0.233], [-4.163, -1.809, 1.370], [-2.993, -1.767, -3.225]],
  "species": ["Te", "Te", "V", "Ni"],
  "frac_coords": [[0.250, 0.250, 0.250], [0.750, 0.750, 0.750], [0.000, 0.000, 0.000], [0.500, 0.500, 0.500]]
}

{
  "formula": "Ni2PtRh",
  "functional": "PBE",
  "state": "optimized geometry",
  "formation_energy_ev_per_atom": 0.056,
  "energy_ev_per_cell": -24.7,
  "spacegroup": "Imm2 (44)",
  "lattice": [[-4.260, 2.796, -0.040], [-3.505, -0.730, 3.627], [4.745, 1.337, -1.291]],
  "species": ["Ni", "Ni", "Rh", "Pt"],
  "frac_coords": [[0.992, 0.992, 0.000], [0.761, 0.261, 0.500], [0.240, 0.740, 0.500], [0.508, 0.508, 0.000]]
}

{
  "formula": "K3Rb4Na4",
  "functional": "PBE",
  "state": "optimized geometry",
  "formation_energy_ev_per_atom": 0.037,
  "energy_ev_per_cell": -12.0,
  "polymorph_energy_mev_per_atom": 0.0,
  "spacegroup": "Immm (71)",
  "lattice": [[-3.969, -0.629, -2.082], [0.317, -12.371, 3.129], [-4.138, 9.028, 10.080]],
  "species": ["Na", "Na", "Na", "Na", "K", "K", "K", "Rb", "Rb", "Rb", "Rb"],
  "frac_coords": [[0.273, 0.773, 0.546], [0.500, 0.783, 0.000], [0.727, 0.227, 0.454], [0.500, 0.217, 0.000], [0.000, 0.500, 0.000], [0.910, 0.910, 0.821], [0.090, 0.090, 0.179], [0.661, 0.850, 0.322], [0.339, 0.150, 0.678], [0.339, 0.527, 0.678], [0.661, 0.473, 0.322]]
}

{
  "formula": "PmPr3SmTm",
  "functional": "PBE",
  "state": "optimized geometry",
  "formation_energy_ev_per_atom": 0.117,
  "energy_ev_per_cell": -55.2,
  "spacegroup": "Cmcm (63)",
  "lattice": [[-1.728, -0.169, -5.737], [6.295, -0.448, 1.249], [-0.983, -12.006, 0.649]],
  "species": ["Pr", "Pr", "Pr", "Pr", "Pr", "Pr", "Pm", "Pm", "Tm", "Tm", "Sm", "Sm"],
  "frac_coords": [[0.669, 0.338, 0.476], [0.331, 0.662, 0.524], [0.140, 0.279, 0.750], [0.331, 0.662, 0.976], [0.669, 0.338, 0.024], [0.860, 0.721, 0.250], [0.475, 0.950, 0.250], [0.525, 0.050, 0.750], [0.168, 0.336, 0.250], [0.832, 0.664, 0.750], [0.000, 0.000, 0.000], [0.000, 0.000, 0.500]]
}

Number 1: size of the total moment 1.1 μB/cell. Number 2: size of the total moment 0.0 μB/cell. Number 3: size of the total moment 5.8 μB/cell. Number 4: size of the total moment 0.0 μB/cell. Number 5: size of the total moment 0.0 μB/cell. Number 6: size of the total moment 0.0 μB/cell. Number 7: size of the total moment 0.0 μB/cell. Number 8: size of the total moment 2.4 μB/cell. Number 9: size of the total moment 0.0 μB/cell. Number 10: size of the total moment 0.0 μB/cell. Number 11: size of the total moment 0.0 μB/cell.